No. 1
DFT (PBE) results for an optimized crystal structure of CdRhPb.

Cell lengths 6.293, 6.293, 6.293 Å; angles 149.48, 149.48, 43.71 degrees
Fractional coordinates of all 3 atoms:
Cd  0.973  0.973  0.000
Rh  0.336  0.336  0.000
Pb  0.691  0.691  0.000

=====

No. 2
DFT (PBE) results for an optimized crystal structure of Er6InRu.

Cell lengths 6.396, 6.396, 6.271 Å; angles 99.56, 99.56, 102.51 degrees
Fractional coordinates of all 8 atoms:
Er  0.217  0.217  0.634
Er  0.581  0.201  0.208
Er  0.783  0.783  0.366
Er  0.799  0.419  0.792
Er  0.419  0.799  0.792
Er  0.201  0.581  0.208
In  0.000  0.000  0.000
Ru  0.500  0.500  0.500

=====

| no. | formation enthalpy at 0 K (eV per atom) |
| --- | --- |
| 1 | -0.01 |
| 2 | -0.05 |